[1]
Computed, not measured: a relaxed structure of Pm2Cd6Ag at the GGA-PBE level of DFT.

Lattice parameters (Å, degrees): 6.5329 6.5329 5.9374 90.00 90.00 120.00
Sites, in units of the cell vectors:
Pm  0.3333  0.6667  0.1789
Pm  0.6667  0.3333  0.8211
Cd  0.1806  0.3613  0.6825
Cd  0.1806  0.8194  0.6825
Cd  0.3613  0.1806  0.3175
Cd  0.6387  0.8194  0.6825
Cd  0.8194  0.1806  0.3175
Cd  0.8194  0.6387  0.3175
Ag  0.0000  0.0000  0.0000

D(E_F)	6.66	states/eV/cell
formation enthalpy at 0 K	-2.021	eV per formula unit

[2]
Computed, not measured: a relaxed structure of PrUCo2 at the GGA-PBE level of DFT.

Lattice parameters (Å, degrees): 3.2947 3.2947 7.0420 90.00 90.00 90.00
Sites, in units of the cell vectors:
Pr  0.0000  0.0000  0.0000
U  0.0000  0.0000  0.5000
Co  0.5000  0.5000  0.3172
Co  0.5000  0.5000  0.6828

D(E_F)	5.54	states/eV/cell
E above lowest polymorph	0	meV/atom
formation enthalpy at 0 K	-0.177	eV per formula unit

[3]
Computed, not measured: a relaxed structure of Si2HgRh at the GGA-PBE level of DFT.

Lattice parameters (Å, degrees): 5.2315 5.2315 5.2315 145.51 123.98 67.47
Sites, in units of the cell vectors:
Si  0.0000  0.0000  0.0000
Si  0.7702  0.2702  0.5000
Hg  0.2753  0.7753  0.5000
Rh  0.5632  0.5632  0.0000

D(E_F)	1.69	states/eV/cell
uncorrected formation energy	0.190	eV/atom

[4]
Computed, not measured: a relaxed structure of NaB2W at the GGA-PBE level of DFT.

Lattice parameters (Å, degrees): 5.7399 5.7399 5.7399 113.79 113.79 101.14
Sites, in units of the cell vectors:
Na  0.0000  0.0000  0.0000
Na  0.7500  0.2500  0.5000
B  0.2194  0.1250  0.5944
B  0.3750  0.7806  0.9056
B  0.5306  0.6250  0.4056
B  0.8750  0.4694  0.0944
W  0.2500  0.7500  0.5000
W  0.5000  0.5000  0.0000

D(E_F)	3.31	states/eV/cell
E above lowest polymorph	0	meV/atom
formation enthalpy at 0 K	4.229	eV per formula unit

[5]
Computed, not measured: a relaxed structure of La6PrPt4 at the GGA-PBE level of DFT.

Lattice parameters (Å, degrees): 6.1547 6.1551 9.5107 107.73 106.70 94.87
Sites, in units of the cell vectors:
La  0.0000  0.0000  0.0000
La  0.0370  0.0929  0.6197
La  0.1091  0.6543  0.2859
La  0.4618  0.5432  0.0049
La  0.5282  0.5825  0.6196
La  0.6314  0.1765  0.2856
Pr  0.5714  0.1134  0.6850
Pt  0.1661  0.1876  0.3536
Pt  0.4617  0.0014  0.9430
Pt  0.6429  0.7133  0.3560
Pt  0.9414  0.4811  0.9430

D(E_F)	10.19	states/eV/cell
formation enthalpy at 0 K	-8.573	eV per formula unit

[6]
Computed, not measured: a relaxed structure of Li2In5Pb at the GGA-PBE level of DFT.

Lattice parameters (Å, degrees): 6.3999 12.9042 4.7551 90.00 90.00 90.00
Sites, in units of the cell vectors:
Li  0.2368  0.1238  0.0000
Li  0.2632  0.6238  0.0000
Li  0.7368  0.3762  0.0000
Li  0.7632  0.8762  0.0000
In  0.0000  0.5000  0.5000
In  0.0249  0.7451  0.5000
In  0.2328  0.3691  0.0000
In  0.2672  0.8691  0.0000
In  0.4751  0.2451  0.5000
In  0.5000  0.0000  0.5000
In  0.5249  0.7549  0.5000
In  0.7328  0.1309  0.0000
In  0.7672  0.6309  0.0000
In  0.9751  0.2549  0.5000
Pb  0.0000  0.0000  0.5000
Pb  0.5000  0.5000  0.5000

D(E_F)	7.86	states/eV/cell
formation enthalpy at 0 K	-0.957	eV per formula unit